# LiCaPrGa (PBE-GGA, relaxed)
data_LiCaPrGa
_cell_length_a 5.2954
_cell_length_b 5.2954
_cell_length_c 5.2954
_cell_angle_alpha 60.00
_cell_angle_beta 60.00
_cell_angle_gamma 60.00
_symmetry_space_group_name_H-M 'P 1'
_symmetry_Int_Tables_number 1
loop_
_symmetry_equiv_pos_as_xyz
'x,y,z'
loop_
_atom_site_label
_atom_site_type_symbol
_atom_site_fract_x
_atom_site_fract_y
_atom_site_fract_z
_atom_site_occupancy
Pr1 Pr 0.0000 0.0000 0.0000 1
Ca1 Ca 0.5000 0.5000 0.5000 1
Ga1 Ga 0.2500 0.2500 0.2500 1
Li1 Li 0.7500 0.7500 0.7500 1
# spin magnetization = 0.00 Bohr magnetons per cell
# energy of formation from the pure elements = -286 meV/atom